# MnMoAu2 | Alexandria via LeMat-Bulk | GGA-PBE | relaxed
# Calculated volume = 65.56 Å³/f.u.
# N(E_F) = 5.52 states/eV per cell
# Offset from the most stable computed form = 70.1 meV/atom
# Total magnetization = 6.1 μB per cell
data_MnMoAu2
_space_group_name_H-M_alt 'C 1 m 1'
_space_group_IT_number 8
_cell_length_a 9.3530
_cell_length_b 2.8298
_cell_length_c 5.0304
_cell_angle_alpha 90.00
_cell_angle_beta 99.97
_cell_angle_gamma 90.00
loop_
_space_group_symop_operation_xyz
'x,y,z'
'x,-y,z'
'x+1/2,y+1/2,z'
'x+1/2,-y+1/2,z'
loop_
_atom_site_label
_atom_site_fract_x
_atom_site_fract_y
_atom_site_fract_z
Mn1 0.0000 0.0000 0.0000
Mo1 0.2601 0.0000 0.7598
Au1 0.0082 0.5000 0.5184
Au2 0.2494 0.5000 0.2455